Version one
Entry from Alexandria: a geometry-optimized Y2Tm8Sc3 structure (GGA-PBE).

Properties
- Calculated volume: 30.9 Å³/atom
- M_tot: 0.0 μB/f.u.

extended XYZ file:
```
13
Lattice="-1.499 -4.929 3.947 8.216 -0.424 2.590 -5.288 5.670 3.344" Properties=species:S:1:pos:R:3 pbc="T T T"
Y -0.896 0.842 2.980
Y 2.324 -0.525 6.902
Tm 2.579 -3.629 5.585
Tm -1.150 3.946 4.296
Tm -1.632 -1.724 4.896
Tm 3.061 2.041 4.986
Tm -0.288 1.370 6.374
Tm -3.284 1.524 5.430
Tm 4.712 -1.207 4.452
Tm 1.716 -1.052 3.507
Sc -0.749 -2.465 1.974
Sc 1.351 -0.070 0.426
Sc 6.864 -0.354 2.164
```

Version two
Entry from Alexandria: a geometry-optimized Y2Tm8Sc3 structure (GGA-PBE).

Properties
- Calculated volume: 29.3 Å³/atom
- M_tot: 0.0 μB/f.u.

extended XYZ file:
```
13
Lattice="5.499 0.720 0.205 -0.947 5.287 3.024 -3.722 -2.580 11.499" Properties=species:S:1:pos:R:3 pbc="T T T"
Y 1.474 3.611 8.489
Y -0.644 -0.185 6.238
Tm -0.722 1.690 3.053
Tm 1.552 1.736 11.674
Tm -1.176 3.352 6.146
Tm 2.007 0.074 8.582
Tm -1.470 3.316 12.209
Tm -1.052 1.537 9.286
Tm 1.882 1.889 5.442
Tm 2.300 0.111 2.519
Sc 0.000 0.000 0.000
Sc -1.030 -0.360 11.883
Sc 1.861 3.787 2.844
```

Quick one: least stable of them? version one

Version one
Entry from Alexandria: a geometry-optimized Y4TmSc4 structure (GGA-PBE).

Properties
- Calculated volume: 28.7 Å³/atom
- M_tot: 0.0 μB/f.u.

extended XYZ file:
```
9
Lattice="-1.609 -2.791 -1.458 6.219 -3.088 -5.242 6.869 -7.524 2.536" Properties=species:S:1:pos:R:3 pbc="T T T"
Y 2.163 -3.413 -0.142
Y 9.315 -9.991 -4.020
Y 7.471 -10.583 -0.851
Y 4.007 -2.821 -3.311
Tm -0.805 -1.396 -0.729
Sc 3.934 -5.808 -1.801
Sc 5.134 -7.415 -4.338
Sc 7.544 -7.596 -2.362
Sc 6.345 -5.989 0.175
```

Version two
Entry from Alexandria: a geometry-optimized Y4TmSc4 structure (GGA-PBE).

Properties
- Calculated volume: 28.4 Å³/atom
- M_tot: 0.0 μB/f.u.

extended XYZ file:
```
9
Lattice="-1.918 -1.830 4.052 5.654 -2.998 4.216 -0.043 5.487 5.350" Properties=species:S:1:pos:R:3 pbc="T T T"
Y 0.544 -0.418 5.855
Y 3.149 1.077 7.763
Y 1.873 -2.053 8.639
Y 1.820 2.712 4.979
Tm 0.000 0.000 0.000
Sc 2.507 -3.224 5.518
Sc 1.185 3.883 8.101
Sc 4.348 -0.544 10.493
Sc -0.656 1.203 3.126
```

Quick one: least stable of them? version two

Version one
Entry from Alexandria: a geometry-optimized Y7Tm12Sc structure (GGA-PBE).

Properties
- Calculated volume: 40.9 Å³/atom
- M_tot: 1.6 μB/f.u.

extended XYZ file:
```
20
Lattice="-7.386 2.923 6.401 -3.549 -7.296 -6.183 7.898 -3.619 5.346" Properties=species:S:1:pos:R:3 pbc="T T T"
Y -5.467 -2.187 0.109
Y 2.174 -5.457 -0.418
Y 0.256 -0.348 5.874
Y -1.519 -3.996 2.782
Y 3.949 -1.810 2.673
Y -3.693 1.461 3.200
Y -1.775 -3.648 -3.092
Tm 0.703 -6.264 2.453
Tm -6.931 -3.005 3.175
Tm -3.740 -1.728 3.111
Tm 3.893 -4.988 2.389
Tm -3.022 0.187 6.048
Tm -1.753 -2.998 5.804
Tm -0.016 -8.179 -0.484
Tm -1.284 -4.994 -0.240
Tm -4.342 -4.927 1.620
Tm 1.305 -3.066 3.944
Tm 1.454 -3.269 7.371
Tm -4.491 -4.723 -1.807
Sc 0.000 0.000 0.000
```

Version two
Entry from Alexandria: a geometry-optimized Y7Tm12Sc structure (GGA-PBE).

Properties
- Calculated volume: 31.8 Å³/atom
- M_tot: 0.0 μB/f.u.

extended XYZ file:
```
20
Lattice="-2.781 -5.607 -5.916 7.816 -3.467 -1.032 -1.462 -6.138 5.861" Properties=species:S:1:pos:R:3 pbc="T T T"
Y 2.132 -8.479 -5.950
Y 6.009 -5.100 -2.993
Y -2.981 -7.194 -3.230
Y 1.786 -7.606 -0.543
Y 6.554 -8.018 2.143
Y -2.436 -10.113 1.906
Y 1.441 -6.734 4.864
Tm -1.169 -9.108 -1.014
Tm 0.335 -6.896 -3.476
Tm -0.881 -4.907 -0.578
Tm 1.748 -10.791 -2.607
Tm -0.276 -7.437 2.089
Tm 1.366 -11.125 0.814
Tm 2.207 -4.087 -1.901
Tm 3.849 -7.775 -3.175
Tm 1.825 -4.421 1.520
Tm 4.454 -10.306 -0.509
Tm 3.238 -8.316 2.389
Tm 4.742 -6.104 -0.073
Sc 0.000 0.000 0.000
```

Quick one: least stable of them? version one

Version one
Entry from Alexandria: a geometry-optimized Y3TmSc2 structure (GGA-PBE).

Properties
- Calculated volume: 31.6 Å³/atom
- M_tot: 0.0 μB/f.u.

extended XYZ file:
```
12
Lattice="5.427 0.000 0.000 0.000 8.117 -3.087 0.000 -0.208 8.682" Properties=species:S:1:pos:R:3 pbc="T T T"
Y 5.389 7.123 0.538
Y 2.676 5.030 -0.943
Y 5.389 2.880 6.538
Y 2.676 0.786 5.057
Y 2.676 7.158 5.063
Y 5.389 0.752 0.532
Tm 5.389 5.669 4.010
Tm 2.676 2.241 1.585
Sc 2.676 5.579 2.097
Sc 5.389 4.075 1.033
Sc 2.676 3.835 4.563
Sc 5.389 2.330 3.498
```

Version two
Entry from Alexandria: a geometry-optimized Y3TmSc2 structure (GGA-PBE).

Properties
- Calculated volume: 30.0 Å³/atom
- M_tot: 0.0 μB/f.u.

extended XYZ file:
```
12
Lattice="-0.204 -1.282 3.121 -6.320 -6.844 -3.225 10.580 -3.562 -2.602" Properties=species:S:1:pos:R:3 pbc="T T T"
Y 4.499 -4.542 -1.572
Y -3.446 -5.911 -2.653
Y 5.638 -7.594 -2.751
Y -0.443 -7.146 -1.134
Y -1.582 -4.094 0.045
Y 7.502 -5.777 -0.052
Tm 0.530 -9.177 -3.735
Tm 3.526 -2.511 1.029
Sc 2.490 -6.894 -2.669
Sc 1.566 -4.794 -0.037
Sc 3.387 -10.132 -2.110
Sc 0.669 -1.556 -0.595
```

Quick one: least stable of them? version one

Version one
Entry from Alexandria: a geometry-optimized Y8Tm2Sc structure (GGA-PBE).

Properties
- Calculated volume: 31.7 Å³/atom
- M_tot: 0.0 μB/f.u.

extended XYZ file:
```
11
Lattice="5.595 1.569 0.000 2.535 8.525 0.000 1.267 4.263 7.970" Properties=species:S:1:pos:R:3 pbc="T T T"
Y 5.199 3.141 1.844
Y 6.466 7.403 6.125
Y 2.718 4.001 0.000
Y 5.332 9.310 3.241
Y 4.065 5.047 4.729
Y 5.412 6.093 0.000
Y 2.931 6.954 1.844
Y 4.198 11.216 6.125
Tm 1.267 4.263 3.075
Tm 2.535 8.525 4.894
Sc 2.798 0.784 0.000
```

Version two
Entry from Alexandria: a geometry-optimized Y8Tm2Sc structure (GGA-PBE).

Properties
- Calculated volume: 32.2 Å³/atom
- M_tot: 0.0 μB/f.u.

extended XYZ file:
```
11
Lattice="8.701 -3.137 -3.287 -5.494 8.735 4.932 -4.204 3.137 8.297" Properties=species:S:1:pos:R:3 pbc="T T T"
Y 1.262 2.710 5.759
Y 0.096 6.026 6.806
Y -2.011 3.594 6.329
Y 1.014 5.142 3.613
Y -1.092 2.710 3.137
Y -2.258 6.026 4.183
Y -3.359 6.583 7.539
Y 2.363 2.152 2.403
Tm -5.188 8.664 9.181
Tm 4.191 0.071 0.761
Sc 0.000 0.000 0.000
```

Quick one: least stable of them? version two

Version one
Entry from Alexandria: a geometry-optimized Y4TmSc2 structure (GGA-PBE).

Properties
- Calculated volume: 30.8 Å³/atom
- M_tot: 0.0 μB/f.u.

extended XYZ file:
```
7
Lattice="5.838 0.960 -0.908 1.613 7.380 -3.215 -1.052 -1.161 5.772" Properties=species:S:1:pos:R:3 pbc="T T T"
Y 0.952 5.034 -0.504
Y 3.844 5.089 1.444
Y 2.554 2.090 0.206
Y 5.447 2.145 2.154
Tm 0.000 0.000 0.000
Sc 2.393 -0.101 2.432
Sc 3.725 4.170 -2.061
```

Version two
Entry from Alexandria: a geometry-optimized Y4TmSc2 structure (GGA-PBE).

Properties
- Calculated volume: 29.9 Å³/atom
- M_tot: 0.0 μB/f.u.

extended XYZ file:
```
14
Lattice="8.354 1.162 3.050 0.157 8.161 -1.131 -2.356 -5.142 5.997" Properties=species:S:1:pos:R:3 pbc="T T T"
Y 7.067 1.304 3.956
Y 4.910 4.003 3.843
Y 4.601 1.698 6.468
Y 5.026 -1.579 7.321
Y 2.128 7.246 0.550
Y 1.775 5.043 3.150
Y 2.213 1.670 4.052
Y 7.675 6.203 3.761
Tm -0.959 2.722 3.257
Tm 1.540 2.412 0.729
Sc 1.876 -0.562 6.577
Sc 4.350 -0.923 4.035
Sc 2.286 -3.797 7.545
Sc -0.530 -0.494 4.221
```

Quick one: least stable of them? version one

Version one
Entry from Alexandria: a geometry-optimized Y6TmSc2 structure (GGA-PBE).

Properties
- Calculated volume: 30.2 Å³/atom
- M_tot: 0.0 μB/f.u.

extended XYZ file:
```
18
Lattice="-2.399 3.946 -3.026 -8.006 -8.532 0.250 -8.194 -2.804 7.870" Properties=species:S:1:pos:R:3 pbc="T T T"
Y -11.485 -2.905 2.893
Y -8.345 -1.558 1.957
Y -7.114 -4.484 2.202
Y -10.254 -5.832 3.137
Y -13.003 -5.396 0.748
Y -6.701 -2.888 -0.981
Y -5.596 -1.994 4.346
Y -11.898 -4.501 6.075
Y -15.201 -9.274 7.590
Y -2.230 0.867 0.288
Y -3.398 1.884 -2.496
Y -16.369 -8.256 4.806
Tm -8.747 -3.250 5.207
Tm -9.852 -4.139 -0.113
Sc -12.182 -7.996 6.704
Sc -5.249 -0.411 1.174
Sc -6.417 0.607 -1.610
Sc -13.350 -6.978 3.921
```

Version two
Entry from Alexandria: a geometry-optimized Y6TmSc2 structure (GGA-PBE).

Properties
- Calculated volume: 30.8 Å³/atom
- M_tot: 0.0 μB/f.u.

extended XYZ file:
```
18
Lattice="5.920 0.000 0.457 0.000 9.411 0.000 -0.131 0.000 9.935" Properties=species:S:1:pos:R:3 pbc="T T T"
Y 5.391 9.199 2.119
Y 5.444 6.185 6.048
Y 5.718 6.382 9.523
Y 2.964 1.676 6.065
Y 3.239 1.479 9.540
Y 3.423 4.494 3.534
Y 0.397 0.212 8.273
Y 0.345 3.226 4.344
Y 0.070 3.030 0.869
Y 2.824 7.735 4.327
Y 2.549 7.932 0.852
Y 2.366 4.917 6.858
Tm 2.960 4.706 0.228
Tm -0.066 0.000 4.968
Sc 5.420 3.339 7.954
Sc 3.262 8.044 7.635
Sc 2.526 1.367 2.758
Sc 0.368 6.072 2.438
```

Quick one: least stable of them? version two

Version one
Entry from Alexandria: a geometry-optimized YTmSc3 structure (GGA-PBE).

Properties
- Calculated volume: 27.2 Å³/atom
- M_tot: 0.0 μB/f.u.

extended XYZ file:
```
10
Lattice="-12.038 -6.109 6.422 0.452 -1.117 6.234 -0.257 3.073 1.515" Properties=species:S:1:pos:R:3 pbc="T T T"
Y -1.274 -0.656 3.830
Y -10.388 -3.945 12.835
Tm -7.762 -4.549 10.615
Tm -3.899 -0.052 6.049
Sc -0.701 -0.321 7.154
Sc -8.613 -1.859 8.904
Sc -6.107 -2.513 6.763
Sc -5.554 -2.088 9.901
Sc -3.049 -2.741 7.761
Sc -10.960 -4.279 9.510
```

Version two
Entry from Alexandria: a geometry-optimized YTmSc3 structure (GGA-PBE).

Properties
- Calculated volume: 27.8 Å³/atom
- M_tot: 0.0 μB/f.u.

extended XYZ file:
```
10
Lattice="-4.852 2.371 -4.501 2.437 -4.957 -5.238 -1.414 -3.773 5.027" Properties=species:S:1:pos:R:3 pbc="T T T"
Y -1.077 -5.875 -1.934
Y -2.753 -0.485 -2.778
Tm -2.672 -5.571 -5.544
Tm -1.157 -0.789 0.831
Sc -2.861 -2.320 -5.913
Sc 0.137 -2.432 -1.429
Sc -0.842 -3.307 -4.040
Sc -2.988 -3.053 -0.673
Sc -0.968 -4.039 1.201
Sc -3.966 -3.928 -3.284
```

Quick one: least stable of them? version two

Version one
Entry from Alexandria: a geometry-optimized YTm8Sc6 structure (GGA-PBE).

Properties
- Calculated volume: 28.4 Å³/atom
- M_tot: 0.0 μB/f.u.

extended XYZ file:
```
15
Lattice="-1.236 4.083 8.209 -8.229 -0.458 4.202 -1.531 -3.636 6.790" Properties=species:S:1:pos:R:3 pbc="T T T"
Y 0.000 0.000 0.000
Tm -3.049 -0.338 7.189
Tm -2.324 1.217 10.196
Tm -6.104 -1.917 6.789
Tm -5.934 1.294 8.889
Tm -5.062 -1.305 10.313
Tm -4.892 1.905 12.413
Tm -8.673 -1.229 9.006
Tm -7.947 0.327 12.013
Sc -9.697 -2.313 13.667
Sc -2.523 -0.051 1.990
Sc -5.433 0.748 5.230
Sc -5.563 -0.759 13.972
Sc -8.473 0.040 17.212
Sc -1.299 2.301 5.535
```

Version two
Entry from Alexandria: a geometry-optimized YTm8Sc6 structure (GGA-PBE).

Properties
- Calculated volume: 28.5 Å³/atom
- M_tot: 2.2 μB/f.u.

extended XYZ file:
```
15
Lattice="3.552 -7.742 -0.722 5.484 -1.805 -6.304 8.313 -1.240 1.559" Properties=species:S:1:pos:R:3 pbc="T T T"
Y 0.000 0.000 0.000
Tm 10.800 -3.132 -2.995
Tm 8.306 -3.470 -5.155
Tm 9.550 -4.049 -0.063
Tm 10.118 -6.291 -3.188
Tm 7.231 -4.496 -2.278
Tm 7.799 -6.738 -5.403
Tm 9.043 -7.317 -0.312
Tm 6.549 -7.655 -2.471
Sc 11.924 -8.967 -2.587
Sc 5.686 -2.944 0.169
Sc 3.958 -4.606 -2.038
Sc 13.391 -6.181 -3.429
Sc 11.663 -7.843 -5.635
Sc 5.425 -1.820 -2.879
```

Quick one: least stable of them? version one